Record 1
Entry from the Alexandria database: a relaxed structure of Y2Ga6Ru (PBE-GGA).

Structure (CIF):
```
data_Y2Ga6Ru
_chemical_formula_sum 'Y2 Ga6 Ru1'
_symmetry_space_group_name_H-M 'P -3 m 1'
_symmetry_Int_Tables_number 164
_symmetry_space_group_name_Hall '-P 3 2"'
_cell_length_a 5.7950
_cell_length_b 5.7950
_cell_length_c 5.7758
_cell_angle_alpha 90.00
_cell_angle_beta 90.00
_cell_angle_gamma 120.00
loop_
_atom_site_label
_atom_site_fract_x
_atom_site_fract_y
_atom_site_fract_z
Y1 0.3333 0.6667 0.3501
Ga1 0.1747 0.3493 0.8200
Ru1 0.0000 0.0000 0.5000
```

total magnetic moment = 0.00 μB/f.u.
VASP energy = -5.01 eV per atom
DOS(E_F) = 4.3 states/eV per cell
volume = 168.0 Å³ per cell
E_form = -521.0 meV per atom

Record 2
Entry from the Alexandria database: a relaxed structure of Y3Ga2Ru2 (PBE-GGA).

Structure (CIF):
```
data_Y3Ga2Ru2
_chemical_formula_sum 'Y12 Ga8 Ru8'
_symmetry_space_group_name_H-M 'P b c m'
_symmetry_Int_Tables_number 57
_cell_length_a 5.584
_cell_length_b 7.614
_cell_length_c 14.010
_cell_angle_alpha 90.00
_cell_angle_beta 90.00
_cell_angle_gamma 90.00
loop_
_symmetry_equiv_pos_as_xyz
'x,y,z'
'-x,-y,-z'
'-x,-y,z+1/2'
'x,y,-z+1/2'
'x,-y+1/2,-z'
'-x,y+1/2,z'
'-x,y+1/2,-z+1/2'
'x,-y+1/2,z+1/2'
loop_
_atom_site_label
_atom_site_fract_x
_atom_site_fract_y
_atom_site_fract_z
Y1 0.119 0.238 0.250
Y2 0.350 0.600 0.096
Ga1 0.134 0.250 0.000
Ga2 0.375 0.606 0.750
Ru1 0.146 0.537 0.594
```

total magnetic moment = 0.00 μB/f.u.
VASP energy = -6.84 eV per atom
DOS(E_F) = 21.8 states/eV per cell
volume = 595.7 Å³ per cell
E_form = -559.5 meV per atom

Record 3
Entry from the Alexandria database: a relaxed structure of Y2Ga7Ru (PBE-GGA).

Structure (CIF):
```
data_Y2Ga7Ru
_chemical_formula_sum 'Y8 Ga28 Ru4'
_symmetry_space_group_name_H-M 'F m -3 m'
_symmetry_Int_Tables_number 225
_symmetry_space_group_name_Hall '-F 4 2 3'
_cell_length_a 9.593
_cell_length_b 9.593
_cell_length_c 9.593
_cell_angle_alpha 90.00
_cell_angle_beta 90.00
_cell_angle_gamma 90.00
loop_
_atom_site_label
_atom_site_fract_x
_atom_site_fract_y
_atom_site_fract_z
Y1 0.250 0.250 0.250
Ga1 0.000 0.000 0.000
Ga2 0.000 0.000 0.250
Ru1 0.000 0.000 0.500
```

total magnetic moment = 0.00 μB/f.u.
VASP energy = -4.36 eV per atom
DOS(E_F) = 24.6 states/eV per cell
volume = 882.7 Å³ per cell
E_form = -22.5 meV per atom

Record 4
Entry from the Alexandria database: a relaxed structure of Y2GaRu3 (PBE-GGA).

Structure (CIF):
```
data_Y2GaRu3
_chemical_formula_sum 'Y6 Ga3 Ru9'
_symmetry_space_group_name_H-M 'R -3 m'
_symmetry_Int_Tables_number 166
_symmetry_space_group_name_Hall '-R 3 2"'
_cell_length_a 5.4590
_cell_length_b 5.4590
_cell_length_c 12.6634
_cell_angle_alpha 90.00
_cell_angle_beta 90.00
_cell_angle_gamma 120.00
loop_
_atom_site_label
_atom_site_fract_x
_atom_site_fract_y
_atom_site_fract_z
Y1 0.0000 0.0000 0.1253
Ga1 0.0000 0.0000 0.5000
Ru1 0.0000 0.5000 0.0000
```

total magnetic moment = 1.34 μB/f.u.
VASP energy = -7.71 eV per atom
DOS(E_F) = 18.3 states/eV per cell
volume = 326.9 Å³ per cell
E_form = -416.5 meV per atom

Record 5
Entry from the Alexandria database: a relaxed structure of YGaRu (PBE-GGA).

Structure (CIF):
```
data_YGaRu
_chemical_formula_sum 'Y1 Ga1 Ru1'
_symmetry_space_group_name_H-M 'P -6 m 2'
_symmetry_Int_Tables_number 187
_symmetry_space_group_name_Hall 'P -6 2'
_cell_length_a 4.3557
_cell_length_b 4.3557
_cell_length_c 3.6266
_cell_angle_alpha 90.00
_cell_angle_beta 90.00
_cell_angle_gamma 120.00
loop_
_atom_site_label
_atom_site_fract_x
_atom_site_fract_y
_atom_site_fract_z
Y1 0.0000 0.0000 0.0000
Ga1 0.3333 0.6667 0.5000
Ru1 0.6667 0.3333 0.5000
```

total magnetic moment = 0.00 μB/f.u.
VASP energy = -6.73 eV per atom
DOS(E_F) = 2.1 states/eV per cell
volume = 59.6 Å³ per cell
E_form = -475.1 meV per atom

Record 6
Entry from the Alexandria database: a relaxed structure of YZnGaRu (PBE-GGA).

Structure (CIF):
```
data_YZnGaRu
_chemical_formula_sum 'Y3 Zn3 Ga3 Ru3'
_symmetry_space_group_name_H-M 'R 3 m'
_symmetry_Int_Tables_number 160
_symmetry_space_group_name_Hall 'R 3 -2"'
_cell_length_a 4.2488
_cell_length_b 4.2488
_cell_length_c 14.7640
_cell_angle_alpha 90.00
_cell_angle_beta 90.00
_cell_angle_gamma 120.00
loop_
_atom_site_label
_atom_site_fract_x
_atom_site_fract_y
_atom_site_fract_z
Y1 0.0000 0.0000 0.0000
Zn1 0.0000 0.0000 0.7874
Ga1 0.0000 0.0000 0.2142
Ru1 0.0000 0.0000 0.5216
```

total magnetic moment = 0.00 μB/f.u.
VASP energy = -5.35 eV per atom
DOS(E_F) = 8.3 states/eV per cell
volume = 230.8 Å³ per cell
E_form = -343.7 meV per atom

Record 7
Entry from the Alexandria database: a relaxed structure of ZnGa2Ru (PBE-GGA).

Structure (CIF):
```
data_ZnGa2Ru
_chemical_formula_sum 'Zn3 Ga6 Ru3'
_symmetry_space_group_name_H-M 'R -3 m'
_symmetry_Int_Tables_number 166
_symmetry_space_group_name_Hall '-R 3 2"'
_cell_length_a 2.9602
_cell_length_b 2.9602
_cell_length_c 26.5422
_cell_angle_alpha 90.00
_cell_angle_beta 90.00
_cell_angle_gamma 120.00
loop_
_atom_site_label
_atom_site_fract_x
_atom_site_fract_y
_atom_site_fract_z
Zn1 0.0000 0.0000 0.0000
Ga1 0.0000 0.0000 0.0946
Ru1 0.0000 0.0000 0.5000
```

total magnetic moment = 0.00 μB/f.u.
VASP energy = -4.20 eV per atom
DOS(E_F) = 6.8 states/eV per cell
volume = 201.4 Å³ per cell
E_form = -47.3 meV per atom

Record 8
Entry from the Alexandria database: a relaxed structure of Zn6GaRu (PBE-GGA).

Structure (CIF):
```
data_Zn6GaRu
_chemical_formula_sum 'Zn6 Ga1 Ru1'
_symmetry_space_group_name_H-M 'P 6/m m m'
_symmetry_Int_Tables_number 191
_symmetry_space_group_name_Hall '-P 6 2'
_cell_length_a 5.1762
_cell_length_b 5.1762
_cell_length_c 5.1443
_cell_angle_alpha 90.00
_cell_angle_beta 90.00
_cell_angle_gamma 120.00
loop_
_atom_site_label
_atom_site_fract_x
_atom_site_fract_y
_atom_site_fract_z
Zn1 0.0000 0.5000 0.2423
Ga1 0.0000 0.0000 0.5000
Ru1 0.0000 0.0000 0.0000
```

total magnetic moment = 0.00 μB/f.u.
VASP energy = -2.49 eV per atom
DOS(E_F) = 2.5 states/eV per cell
volume = 119.3 Å³ per cell
E_form = -1.5 meV per atom

Record 9
Entry from the Alexandria database: a relaxed structure of Zn2Ga2Ru (PBE-GGA).

Structure (CIF):
```
data_Zn2Ga2Ru
_chemical_formula_sum 'Zn4 Ga4 Ru2'
_symmetry_space_group_name_H-M 'P 4/m b m'
_symmetry_Int_Tables_number 127
_symmetry_space_group_name_Hall '-P 4 2ab'
_cell_length_a 6.801
_cell_length_b 6.801
_cell_length_c 3.354
_cell_angle_alpha 90.00
_cell_angle_beta 90.00
_cell_angle_gamma 90.00
loop_
_atom_site_label
_atom_site_fract_x
_atom_site_fract_y
_atom_site_fract_z
Zn1 0.131 0.369 0.000
Ga1 0.174 0.674 0.500
Ru1 0.000 0.000 0.000
```

total magnetic moment = 0.00 μB/f.u.
VASP energy = -3.39 eV per atom
DOS(E_F) = 5.2 states/eV per cell
energy above the most stable polymorph in this dataset = 0.0899 eV/atom
volume = 155.1 Å³ per cell
E_form = 184.6 meV per atom

Record 10
Entry from the Alexandria database: a relaxed structure of ZnGaRu2 (PBE-GGA).

Structure (CIF):
```
data_ZnGaRu2
_chemical_formula_sum 'Zn3 Ga3 Ru6'
_symmetry_space_group_name_H-M 'R 3 m'
_symmetry_Int_Tables_number 160
_symmetry_space_group_name_Hall 'R 3 -2"'
_cell_length_a 2.8250
_cell_length_b 2.8250
_cell_length_c 24.7810
_cell_angle_alpha 90.00
_cell_angle_beta 90.00
_cell_angle_gamma 120.00
loop_
_atom_site_label
_atom_site_fract_x
_atom_site_fract_y
_atom_site_fract_z
Zn1 0.0000 0.0000 0.0000
Ga1 0.0000 0.0000 0.8332
Ru1 0.0000 0.0000 0.2480
Ru2 0.0000 0.0000 0.4183
```

total magnetic moment = 0.00 μB/f.u.
VASP energy = -5.76 eV per atom
DOS(E_F) = 10.3 states/eV per cell
volume = 171.3 Å³ per cell
E_form = -48.7 meV per atom

Record 11
Entry from the Alexandria database: a relaxed structure of ZnGaRu2 (PBE-GGA).

Structure (CIF):
```
data_ZnGaRu2
_chemical_formula_sum 'Zn4 Ga4 Ru8'
_symmetry_space_group_name_H-M 'I -4 2 d'
_symmetry_Int_Tables_number 122
_symmetry_space_group_name_Hall 'I -4 2bw'
_cell_length_a 6.843
_cell_length_b 6.843
_cell_length_c 5.259
_cell_angle_alpha 90.00
_cell_angle_beta 90.00
_cell_angle_gamma 90.00
loop_
_atom_site_label
_atom_site_fract_x
_atom_site_fract_y
_atom_site_fract_z
Zn1 0.000 0.000 0.000
Ga1 0.000 0.000 0.500
Ru1 0.243 0.250 0.625
```

total magnetic moment = 0.00 μB/f.u.
VASP energy = -5.32 eV per atom
DOS(E_F) = 18.5 states/eV per cell
volume = 246.3 Å³ per cell
E_form = 393.5 meV per atom

Record 12
Entry from the Alexandria database: a relaxed structure of Zn2GaRu2 (PBE-GGA).

Structure (CIF):
```
data_Zn2GaRu2
_chemical_formula_sum 'Zn4 Ga2 Ru4'
_symmetry_space_group_name_H-M 'C 1 2/m 1'
_symmetry_Int_Tables_number 12
_cell_length_a 7.317
_cell_length_b 4.231
_cell_length_c 5.168
_cell_angle_alpha 90.00
_cell_angle_beta 90.36
_cell_angle_gamma 90.00
loop_
_symmetry_equiv_pos_as_xyz
'x,y,z'
'-x,-y,-z'
'-x,y,-z'
'x,-y,z'
'x+1/2,y+1/2,z'
'-x+1/2,-y+1/2,-z'
'-x+1/2,y+1/2,-z'
'x+1/2,-y+1/2,z'
loop_
_atom_site_label
_atom_site_fract_x
_atom_site_fract_y
_atom_site_fract_z
Zn1 0.168 0.000 0.372
Ga1 0.000 0.500 0.000
Ru1 0.167 0.000 0.864
```

total magnetic moment = 0.01 μB/f.u.
VASP energy = -4.78 eV per atom
DOS(E_F) = 12.7 states/eV per cell
energy above the most stable polymorph in this dataset = 0.0918 eV/atom
volume = 160.0 Å³ per cell
E_form = 48.7 meV per atom

Record 13
Entry from the Alexandria database: a relaxed structure of ZnGa2Ru2 (PBE-GGA).

Structure (CIF):
```
data_ZnGa2Ru2
_chemical_formula_sum 'Zn2 Ga4 Ru4'
_symmetry_space_group_name_H-M 'P 4/m b m'
_symmetry_Int_Tables_number 127
_symmetry_space_group_name_Hall '-P 4 2ab'
_cell_length_a 6.885
_cell_length_b 6.885
_cell_length_c 3.092
_cell_angle_alpha 90.00
_cell_angle_beta 90.00
_cell_angle_gamma 90.00
loop_
_atom_site_label
_atom_site_fract_x
_atom_site_fract_y
_atom_site_fract_z
Zn1 0.000 0.000 0.000
Ga1 0.138 0.362 0.000
Ru1 0.160 0.660 0.500
```

total magnetic moment = 0.00 μB/f.u.
VASP energy = -5.32 eV per atom
DOS(E_F) = 4.9 states/eV per cell
energy above the most stable polymorph in this dataset = 0.0948 eV/atom
volume = 146.5 Å³ per cell
E_form = -146.4 meV per atom